Hf2ZrIn2 PBE-GGA relaxed; mass density = 9.8 Mg/m³; raw total energy = -6.70 eV per atom; SG = P4/mbm (127); formation enthalpy at 0 K = 89 meV per atom; crystal system = tetragonal
1.0
-5.969 4.555 4.183
-5.471 -6.600 -0.620
1.041 -1.117 2.702
In Hf Zr
4 4 2
direct
0.325 0.175 0.500 In
0.825 0.325 0.500 In
0.175 0.675 0.500 In
0.675 0.825 0.500 In
0.377 0.877 0.000 Hf
0.623 0.123 0.000 Hf
0.877 0.623 0.000 Hf
0.123 0.377 0.000 Hf
0.000 0.000 0.000 Zr
0.500 0.500 0.000 Zr

HfZr3In PBE-GGA relaxed; mass density = 8.2 Mg/m³; raw total energy = -7.70 eV per atom; SG = C2/m (12); formation enthalpy at 0 K = -36 meV per atom; crystal system = monoclinic
1.0
-1.273 0.952 -4.993
3.031 -4.271 -1.587
-5.407 -5.764 3.028
Zr Hf In
6 2 2
direct
0.844 0.290 0.688 Zr
0.646 0.295 0.292 Zr
0.156 0.710 0.312 Zr
0.952 0.774 0.905 Zr
0.354 0.705 0.708 Zr
0.048 0.226 0.095 Zr
0.243 0.190 0.486 Hf
0.757 0.810 0.514 Hf
0.557 0.789 0.114 In
0.443 0.211 0.886 In

HfZrIn2 PBE-GGA relaxed; mass density = 8.0 Mg/m³; raw total energy = -5.75 eV per atom; SG = R3m (160); formation enthalpy at 0 K = 247 meV per atom; crystal system = trigonal
1.0
-2.536 2.924 2.261
-0.245 -0.233 4.470
3.731 4.591 2.691
In Hf Zr
2 1 1
direct
0.253 0.253 0.242 In
0.083 0.083 0.752 In
0.491 0.491 0.528 Hf
0.674 0.674 0.978 Zr

Q: Which value of formation enthalpy at 0 K does entry 3 give?
A: 247 meV per atom